Computed, not measured: a geometry-optimized Li2PS4 structure at the PBE-GGA level of DFT.

a = 8.549 Å, b = 8.549 Å, c = 11.338 Å
α = 90.00°, β = 90.00°, γ = 90.00°
Space group P4_2/nbc (No. 133, origin choice 2)
Symmetry-distinct sites (fractional):
1 Li 0.011 0.011 0.250 (multiplicity 8)
2 P 0.250 0.750 0.250 (multiplicity 4)
3 S 0.053 0.741 0.648 (multiplicity 16)

## Properties
relative energy among the computed polymorphs: 7 meV per atom